Crystalline TcNi14Rh at its relaxed geometry, computed with PBE.

Unit cell a=8.231 b=5.056 c=5.056 alpha=60.18 beta=90.00 gamma=90.00
Fractional positions:
Tc: 0.000 0.000 0.000
Ni: 0.000 0.499 0.998
Ni: 0.000 0.998 0.499
Ni: 0.251 0.832 0.832
Ni: 0.255 0.331 0.331
Ni: 0.255 0.331 0.835
Ni: 0.255 0.835 0.331
Ni: 0.500 0.165 0.165
Ni: 0.500 0.165 0.666
Ni: 0.500 0.666 0.165
Ni: 0.500 0.666 0.666
Ni: 0.745 0.331 0.331
Ni: 0.745 0.331 0.835
Ni: 0.745 0.835 0.331
Ni: 0.749 0.832 0.832
Rh: 0.000 0.500 0.500

Results
VASP energy   -6.124 eV per atom
Size of the total moment   8.19 μB per formula unit
DOS(E_F)   27.7 states/eV/cell

Crystalline Tc2NiRh6 at its relaxed geometry, computed with PBE.

Unit cell a=4.677 b=4.677 c=8.092 alpha=106.39 beta=106.39 gamma=48.18
Fractional positions:
Tc: 0.169 0.169 0.222
Tc: 0.831 0.831 0.778
Ni: 0.500 0.500 0.000
Rh: 0.166 0.166 0.894
Rh: 0.171 0.171 0.557
Rh: 0.499 0.499 0.324
Rh: 0.501 0.501 0.676
Rh: 0.829 0.829 0.443
Rh: 0.834 0.834 0.106

Results
ΔE to the lowest computed polymorph   0 meV/atom
Size of the total moment   0.00 μB per formula unit
DOS(E_F)   11.0 states/eV/cell